VASP calculation (GGA-PBEsol) on an optimized crystal structure of MgZn2O3.

POSCAR file:
```
MgZn2O3
1.0
3.013 0.000 0.000
-1.507 2.609 0.000
0.000 0.000 7.351
Mg Zn O
1 2 3
Direct
0.000 0.000 0.000
0.333 0.667 0.668
0.667 0.333 0.332
0.000 0.000 0.500
0.333 0.667 0.162
0.667 0.333 0.838
```

Total moment: 0.00 μB/atom
Electronic total energy: -5.24 eV per atom
Space group: No. 164
E_form (uncorrected): -1803 meV per atom
Mass density: 5.8 g/cm³